# Er6Tm2Al | Alexandria | GGA-PBE | optimized geometry
data_Er6Tm2Al
_chemical_formula_sum 'Er12 Tm4 Al2'
_cell_length_a 9.879
_cell_length_b 5.248
_cell_length_c 10.071
_cell_angle_alpha 90.00
_cell_angle_beta 90.04
_cell_angle_gamma 90.00
_space_group_name_H-M_alt 'P 1'
_space_group_IT_number 1
loop_
_space_group_symop_operation_xyz
'x,y,z'
loop_
_atom_site_label
_atom_site_type_symbol
_atom_site_fract_x
_atom_site_fract_y
_atom_site_fract_z
_atom_site_occupancy
Er1 Er 0.029 0.000 0.184 1
Er2 Er 0.130 0.500 0.617 1
Er3 Er 0.183 0.500 0.950 1
Er4 Er 0.317 0.000 0.450 1
Er5 Er 0.370 0.000 0.117 1
Er6 Er 0.471 0.500 0.684 1
Er7 Er 0.529 0.500 0.316 1
Er8 Er 0.630 0.000 0.883 1
Er9 Er 0.683 0.000 0.550 1
Er10 Er 0.817 0.500 0.050 1
Er11 Er 0.870 0.500 0.383 1
Er12 Er 0.971 0.000 0.816 1
Tm1 Tm 0.203 0.500 0.277 1
Tm2 Tm 0.297 0.000 0.777 1
Tm3 Tm 0.703 0.000 0.223 1
Tm4 Tm 0.797 0.500 0.723 1
Al1 Al 0.000 0.000 0.500 1
Al2 Al 0.500 0.500 0.000 1
# * DFT total energy: -4.462 eV per atom
# * N(E_F): 13.56 states/eV/f.u.

# Mo3Au | Alexandria | GGA-PBE | optimized geometry
data_Mo3Au
_chemical_formula_sum 'Mo3 Au1'
_cell_length_a 2.688
_cell_length_b 2.688
_cell_length_c 9.070
_cell_angle_alpha 90.00
_cell_angle_beta 90.00
_cell_angle_gamma 90.00
_space_group_name_H-M_alt 'P 1'
_space_group_IT_number 1
loop_
_space_group_symop_operation_xyz
'x,y,z'
loop_
_atom_site_label
_atom_site_type_symbol
_atom_site_fract_x
_atom_site_fract_y
_atom_site_fract_z
_atom_site_occupancy
Mo1 Mo 0.000 0.000 0.000 1
Mo2 Mo 0.500 0.500 0.250 1
Mo3 Mo 0.500 0.500 0.750 1
Au1 Au 0.000 0.000 0.500 1
# * DFT total energy: -8.673 eV per atom
# * N(E_F): 2.84 states/eV/f.u.

# Nd3BeGa2Ru3 | Alexandria | GGA-PBE | optimized geometry
data_Nd3BeGa2Ru3
_chemical_formula_sum 'Nd3 Be1 Ga2 Ru3'
_cell_length_a 7.235
_cell_length_b 7.235
_cell_length_c 3.879
_cell_angle_alpha 90.00
_cell_angle_beta 90.00
_cell_angle_gamma 120.00
_space_group_name_H-M_alt 'P 1'
_space_group_IT_number 1
loop_
_space_group_symop_operation_xyz
'x,y,z'
loop_
_atom_site_label
_atom_site_type_symbol
_atom_site_fract_x
_atom_site_fract_y
_atom_site_fract_z
_atom_site_occupancy
Nd1 Nd 0.000 0.371 0.000 1
Nd2 Nd 0.371 0.000 0.000 1
Nd3 Nd 0.629 0.629 0.000 1
Be1 Be 0.000 0.000 0.000 1
Ga1 Ga 0.333 0.667 0.500 1
Ga2 Ga 0.667 0.333 0.500 1
Ru1 Ru 0.000 0.772 0.500 1
Ru2 Ru 0.228 0.228 0.500 1
Ru3 Ru 0.772 0.000 0.500 1
# * DFT total energy: -6.035 eV per atom
# * N(E_F): 7.09 states/eV/f.u.

- The lowest N(E_F) belongs to which entry?
  Mo3Au